# 1
Here is crystalline Dy9Ho2Er3 at its relaxed geometry from the Alexandria database. Energies are from PBE.

## Properties
symmetry: P1 (1)
total magnetization: 0.00 μB/cell
calculated volume: 438 Å³/f.u.
E_form: 1.2 eV/f.u.
energy: -4.506 eV per atom

a = 6.4056 Å, b = 8.3849 Å, c = 8.7298 Å
α = 87.82°, β = 82.12°, γ = 70.69°
Positions (direct):
Dy1 0.0000 0.0000 0.0000
Dy2 0.0252 0.5519 0.0508
Dy3 0.1448 0.2024 0.2796
Dy4 0.2731 0.9817 0.6148
Dy5 0.3964 0.6366 0.8093
Dy6 0.4295 0.2030 0.8609
Dy7 0.5806 0.4026 0.1339
Dy8 0.6988 0.0508 0.3906
Dy9 0.8555 0.7878 0.7123
Ho1 0.1823 0.7644 0.3265
Ho2 0.3196 0.4172 0.5213
Er1 0.5518 0.8515 0.0834
Er2 0.7247 0.6178 0.4195
Er3 0.8797 0.3491 0.7344

# 2
Here is crystalline K4Hg2Br at its relaxed geometry from the Alexandria database. Energies are from PBE.

## Properties
symmetry: I4/mmm (139)
total magnetization: 0.00 μB/cell
calculated volume: 396 Å³/f.u.
energy relative to the elements, uncorrected: -2.9 eV/f.u.
energy: -1.372 eV per atom

a = 11.5859 Å, b = 11.5859 Å, c = 11.5859 Å
α = 149.63°, β = 149.63°, γ = 43.48°
Positions (direct):
K1 0.0000 0.5000 0.5000
K2 0.1753 0.1753 0.0000
K3 0.5000 0.0000 0.5000
K4 0.8247 0.8247 0.0000
Hg1 0.3368 0.3368 0.0000
Hg2 0.6632 0.6632 0.0000
Br1 0.5000 0.5000 0.0000

# 3
Here is crystalline Tb2PuGe at its relaxed geometry from the Alexandria database. Energies are from PBE.

## Properties
symmetry: P4/mmm (123)
total magnetization: 6.48 μB/cell
calculated volume: 100 Å³/f.u.
E_form: -1.0 eV/f.u.
energy: -7.314 eV per atom

a = 4.7362 Å, b = 4.7362 Å, c = 4.4550 Å
α = 90.00°, β = 90.00°, γ = 90.00°
Positions (direct):
Tb1 0.0000 0.5000 0.0000
Tb2 0.5000 0.0000 0.0000
Pu1 0.0000 0.0000 0.5000
Ge1 0.5000 0.5000 0.5000